Computed, not measured: crystalline SrOs2Pt at its relaxed geometry at the PBE-GGA level of DFT. Values from VASP.

Geometry as Quantum ESPRESSO input:
```
&SYSTEM
  ibrav = 0, nat = 4, ntyp = 3
/
ATOMIC_SPECIES
Pt 195.08 Pt.upf
Sr 87.62 Sr.upf
Os 190.23 Os.upf
CELL_PARAMETERS angstrom
0.000 3.294 3.294
3.294 0.000 3.294
3.294 3.294 0.000
ATOMIC_POSITIONS crystal
Pt 0.500 0.500 0.500
Sr 0.000 0.000 0.000
Os 0.750 0.750 0.750
Os 0.250 0.250 0.250
```

Values from the calculation:
- ΔE to the lowest computed polymorph: 3.71 eV/f.u.
- Energy of formation: 1.194 eV per atom

---

Computed, not measured: crystalline SrAl2Cr at its relaxed geometry at the PBE-GGA level of DFT. Values from VASP.

Geometry as Quantum ESPRESSO input:
```
&SYSTEM
  ibrav = 0, nat = 4, ntyp = 3
/
ATOMIC_SPECIES
Al 26.98 Al.upf
Cr 52.00 Cr.upf
Sr 87.62 Sr.upf
CELL_PARAMETERS angstrom
-0.334 -2.547 4.941
-0.182 -3.492 -4.334
3.071 -0.256 0.076
ATOMIC_POSITIONS crystal
Al 0.000 0.000 0.000
Al 0.500 0.500 0.000
Cr 0.500 0.000 0.500
Sr 0.000 0.500 0.500
```

Values from the calculation:
- ΔE to the lowest computed polymorph: 1.69 eV/f.u.
- Energy of formation: 0.425 eV per atom

---

Computed, not measured: crystalline LaScPd2 at its relaxed geometry at the PBE-GGA level of DFT. Values from VASP.

Geometry as Quantum ESPRESSO input:
```
&SYSTEM
  ibrav = 0, nat = 4, ntyp = 3
/
ATOMIC_SPECIES
Sc 44.96 Sc.upf
Pd 106.42 Pd.upf
La 138.91 La.upf
CELL_PARAMETERS angstrom
-0.039 4.626 -0.068
-0.709 2.366 3.913
4.588 2.384 2.126
ATOMIC_POSITIONS crystal
Sc 0.500 0.500 0.500
Pd 0.784 0.784 0.649
Pd 0.216 0.216 0.351
La 0.000 0.000 0.000
```

Values from the calculation:
- Energy of formation: -0.792 eV per atom

---

Computed, not measured: crystalline YSb2Pd at its relaxed geometry at the PBE-GGA level of DFT. Values from VASP.

Geometry as Quantum ESPRESSO input:
```
&SYSTEM
  ibrav = 0, nat = 4, ntyp = 3
/
ATOMIC_SPECIES
Pd 106.42 Pd.upf
Sb 121.76 Sb.upf
Y 88.91 Y.upf
CELL_PARAMETERS angstrom
3.513 0.000 0.000
1.757 3.043 0.000
1.757 1.014 9.906
ATOMIC_POSITIONS crystal
Pd 0.500 0.500 0.500
Sb 0.103 0.103 0.690
Y 0.000 0.000 0.000
Sb 0.897 0.897 0.310
```

Values from the calculation:
- E_form (uncorrected): -0.16 eV per atom

---

Computed, not measured: crystalline Rb2SrRuI6 at its relaxed geometry at the PBE-GGA level of DFT. Values from VASP.

Geometry as Quantum ESPRESSO input:
```
&SYSTEM
  ibrav = 0, nat = 10, ntyp = 4
/
ATOMIC_SPECIES
Sr 87.62 Sr.upf
Rb 85.47 Rb.upf
I 126.90 I.upf
Ru 101.07 Ru.upf
CELL_PARAMETERS angstrom
8.404 0.000 0.000
0.000 8.404 0.000
4.202 4.202 5.942
ATOMIC_POSITIONS crystal
Sr 0.500 0.500 0.000
Rb 0.750 0.250 0.500
Rb 0.250 0.750 0.500
I 0.230 0.770 0.000
I 0.230 0.230 0.000
I 0.230 0.230 0.541
I 0.770 0.230 0.000
Ru 0.000 0.000 0.000
I 0.770 0.770 0.000
I 0.770 0.770 0.459
```

Values from the calculation:
- E_form (uncorrected): -0.97 eV per atom

---

no.,VASP energy (eV/cell)
1,-25.406
2,-17.091
3,-24.814
4,-20.522
5,-31.865